Pa2BeRh after structural relaxation, computed with PBE.

Unit cell a=3.0879 b=3.0879 c=9.7135 alpha=80.85 beta=80.85 gamma=60.00
Closest atoms and distances in Å follow each position.
Positions (direct):
Rh: 0.0000 0.0000 0.0000  2 Pa 2.56
Pa: 0.0894 0.0894 0.7318  1 Rh 2.56, 3 Be 2.84
Be: 0.5000 0.5000 0.5000  6 Pa 2.84, 6 Be 3.09
Pa: 0.9106 0.9106 0.2682  1 Rh 2.56, 3 Be 2.84

Calculated values
For the magnetic moment, the calculation gives 0.0 μB per formula unit. The symmetry is No. 166. As for the total DFT energy (no corrections): -7.298 eV/atom. The value obtained for the energy of formation from the pure elements is 219 meV/atom. As for the density: 12.1 g/cm³.